1.
NpReMo | PBE | relaxed

Cell lengths 6.2220, 6.2220, 6.2220 Å; angles 90.00, 90.00, 90.00 degrees
Space group F-43m (No. 216)
Unique sites:
Np  0.0000  0.0000  0.0000 x4
Re  0.2500  0.2500  0.2500 x4
Mo  0.0000  0.0000  0.5000 x4

Energy relative to the lowest polymorph listed for this composition = 0 meV/atom
Total energy = -135.763 eV per cell
Formation enthalpy at 0 K = 700 meV/atom

---

2.
NpReMo | PBE | relaxed

Cell lengths 6.1586, 6.1586, 6.1586 Å; angles 90.00, 90.00, 90.00 degrees
Space group F-43m (No. 216)
Unique sites:
Np  0.0000  0.0000  0.0000 x4
Re  0.2500  0.2500  0.2500 x4
Mo  0.2500  0.2500  0.7500 x4

Energy relative to the lowest polymorph listed for this composition = 370 meV/atom
Total energy = -131.321 eV per cell
Formation enthalpy at 0 K = 1070 meV/atom

---

3.
NpSbMo | PBE | relaxed

Cell lengths 6.5517, 6.5517, 6.5517 Å; angles 90.00, 90.00, 90.00 degrees
Space group F-43m (No. 216)
Unique sites:
Np  0.0000  0.0000  0.0000 x4
Sb  0.0000  0.0000  0.5000 x4
Mo  0.2500  0.2500  0.2500 x4

Total energy = -106.999 eV per cell

---

4.
NpScMo | PBE | relaxed

Cell lengths 6.4362, 6.4362, 6.4362 Å; angles 90.00, 90.00, 90.00 degrees
Space group F-43m (No. 216)
Unique sites:
Np  0.0000  0.0000  0.0000 x4
Sc  0.0000  0.0000  0.5000 x4
Mo  0.2500  0.2500  0.2500 x4

Energy relative to the lowest polymorph listed for this composition = 0 meV/atom
Total energy = -111.866 eV per cell
Formation enthalpy at 0 K = 660 meV/atom

---

5.
NpMo6Se8 | PBE | relaxed

Cell lengths 9.4302, 9.4302, 11.8930 Å; angles 90.00, 90.00, 120.00 degrees
Space group R-3 (No. 148, hexagonal axes)
Unique sites:
Np  0.0000  0.0000  0.0000 x3
Mo  0.0190  0.8454  0.4052 x18
Se  0.0000  0.0000  0.2369 x6
Se  0.0106  0.3823  0.7501 x18

Total energy = -340.740 eV per cell

---

6.
NpSiMo | PBE | relaxed

Cell lengths 6.2183, 6.2183, 6.2183 Å; angles 90.00, 90.00, 90.00 degrees
Space group F-43m (No. 216)
Unique sites:
Np  0.0000  0.0000  0.0000 x4
Si  0.0000  0.0000  0.5000 x4
Mo  0.2500  0.2500  0.2500 x4

Total energy = -112.552 eV per cell